[1]
Material: Sn2Sb2PdAu2
Method: DFT, GGA-PBE
State: relaxed

a = 4.3353 Å, b = 7.0599 Å, c = 6.8485 Å
α = 59.11°, β = 108.15°, γ = 89.65°
Fractional positions:
Sn1 0.3746 0.9736 0.7462
Sn2 0.6254 0.0264 0.2538
Sb1 0.9026 0.4541 0.7968
Sb2 0.0974 0.5459 0.2032
Pd1 0.0000 0.0000 0.0000
Au1 0.7295 0.2842 0.4650
Au2 0.2705 0.7158 0.5350

Calculated values
Crystal system: triclinic
Magnetization (μB/cell): 0.0
Calculated volume (Å³/cell): 167
E (eV/atom): -4.23


[2]
Material: TcSnI2N
Method: DFT, GGA-PBE
State: relaxed

a = 6.1313 Å, b = 6.1313 Å, c = 3.8578 Å
α = 90.00°, β = 90.00°, γ = 90.00°
Fractional positions:
I1 0.0000 0.5000 0.0000
I2 0.5000 0.0000 0.0000
N1 0.0000 0.0000 0.5000
Sn1 0.0000 0.0000 0.0000
Tc1 0.5000 0.5000 0.5000

Calculated values
Crystal system: tetragonal
Magnetization (μB/cell): 4.4
Calculated volume (Å³/cell): 145
Excess energy over the best structure of this formula in the dataset (eV per atom): 0.928
E (eV/atom): -3.92


[3]
Material: TlGa2Hg8
Method: DFT, GGA-PBE
State: relaxed

a = 5.7262 Å, b = 7.7948 Å, c = 7.9010 Å
α = 60.44°, β = 92.76°, γ = 95.60°
Fractional positions:
Tl1 0.5000 0.0000 0.0000
Hg1 0.0943 0.3156 0.7793
Hg2 0.0943 0.0948 0.2207
Hg3 0.7090 0.4025 0.0000
Hg4 0.5000 0.2678 0.4644
Hg5 0.5000 0.7322 0.5356
Hg6 0.2910 0.5975 0.0000
Hg7 0.9057 0.9052 0.7793
Hg8 0.9057 0.6844 0.2207
Ga1 0.0000 0.7214 0.5572
Ga2 0.0000 0.2786 0.4428

Calculated values
ΔH_f (0 K) (meV per atom): 44
Crystal system: monoclinic
Magnetization (μB/cell): 0.0
Calculated volume (Å³/cell): 305
E (eV/atom): -0.94


[4]
Material: Pr3Ag5Sn2
Method: DFT, GGA-PBE
State: relaxed

a = 6.2205 Å, b = 9.8047 Å, c = 9.8047 Å
α = 71.26°, β = 71.51°, γ = 71.51°
Fractional positions:
Pr1 0.2500 0.0000 0.0000
Pr2 0.7500 0.0000 0.0000
Pr3 0.3563 0.4399 0.8475
Pr4 0.6437 0.5601 0.1525
Pr5 0.8563 0.8475 0.4399
Pr6 0.1437 0.1525 0.5601
Ag1 0.2500 0.5000 0.5000
Ag2 0.7500 0.5000 0.5000
Ag3 0.4606 0.7894 0.7894
Ag4 0.0394 0.2106 0.2106
Ag5 0.5394 0.2106 0.2106
Ag6 0.9606 0.7894 0.7894
Ag7 0.1454 0.4323 0.2769
Ag8 0.8546 0.5677 0.7231
Ag9 0.6454 0.2769 0.4323
Ag10 0.3546 0.7231 0.5677
Sn1 0.1226 0.6911 0.0637
Sn2 0.8774 0.3089 0.9363
Sn3 0.6226 0.0637 0.6911
Sn4 0.3774 0.9363 0.3089

Calculated values
ΔH_f (0 K) (meV per atom): -268
Crystal system: orthorhombic
Magnetization (μB/cell): 0.4
Calculated volume (Å³/cell): 521
E (eV/atom): -3.93


[5]
Material: YHo2TmSc
Method: DFT, GGA-PBE
State: relaxed

a = 6.2876 Å, b = 6.2836 Å, c = 8.5671 Å
α = 111.51°, β = 90.00°, γ = 90.00°
Fractional positions:
Y1 0.7500 0.7500 0.5000
Y2 0.2500 0.2500 0.5000
Ho1 0.5000 0.2483 0.0000
Ho2 0.0000 0.7517 0.0000
Ho3 0.5000 0.7517 0.0000
Ho4 0.0000 0.2483 0.0000
Tm1 0.2500 0.6583 0.3166
Tm2 0.7500 0.3417 0.6834
Sc1 0.2500 0.8449 0.6897
Sc2 0.7500 0.1551 0.3103

Calculated values
ΔH_f (0 K) (meV per atom): 369
Crystal system: orthorhombic
Magnetization (μB/cell): 1.1
Calculated volume (Å³/cell): 315
E (eV/atom): -4.92


[6]
Material: Th2AgBi3
Method: DFT, GGA-PBE
State: relaxed

a = 4.6156 Å, b = 6.4157 Å, c = 7.8747 Å
α = 114.04°, β = 107.04°, γ = 90.00°
Fractional positions:
Th1 0.6665 0.1665 0.3330
Th2 0.3335 0.8335 0.6670
Ag1 0.0000 0.5000 0.0000
Bi1 0.3371 0.3371 0.6741
Bi2 0.0000 0.0000 0.0000
Bi3 0.6629 0.6629 0.3259

Calculated values
ΔH_f (0 K) (meV per atom): -242
Crystal system: orthorhombic
Magnetization (μB/cell): 0.0
Calculated volume (Å³/cell): 202
E (eV/atom): -5.13


[7]
Material: Pm7Sn2Pb
Method: DFT, GGA-PBE
State: relaxed

a = 5.4419 Å, b = 5.4419 Å, c = 12.8349 Å
α = 90.00°, β = 90.00°, γ = 120.00°
Fractional positions:
Pm1 0.6667 0.3333 0.5927
Pm2 0.6667 0.3333 0.8492
Pm3 0.0000 0.0000 0.7313
Pm4 0.0000 0.0000 0.2718
Pm5 0.3333 0.6667 0.4388
Pm6 0.3333 0.6667 0.9638
Pm7 0.6667 0.3333 0.1114
Sn1 0.3333 0.6667 0.6992
Sn2 0.6667 0.3333 0.3519
Pb1 0.0000 0.0000 0.0065

Calculated values
ΔH_f (0 K) (meV per atom): -329
Crystal system: trigonal
Magnetization (μB/cell): 1.0
Calculated volume (Å³/cell): 329
E (eV/atom): -4.83


[8]
Material: DyPaRu
Method: DFT, GGA-PBE
State: relaxed

a = 4.7534 Å, b = 4.7534 Å, c = 4.7534 Å
α = 60.00°, β = 60.00°, γ = 60.00°
Fractional positions:
Ru1 0.2500 0.2500 0.2500
Pa1 0.0000 0.0000 0.0000
Dy1 0.5000 0.5000 0.5000

Calculated values
ΔH_f (0 K) (meV per atom): -28
Crystal system: cubic
Magnetization (μB/cell): 0.8
Calculated volume (Å³/cell): 76
Excess energy over the best structure of this formula in the dataset (eV per atom): 0.286
E (eV/atom): -7.82